# 1
{
  "formula": "TbSi3Ni8",
  "functional": "GGA-PBE",
  "state": "optimized geometry",
  "lattice": [[3.1541, -6.8128, 0.0000], [3.1541, 6.8128, 0.0000], [-3.0024, 0.0000, 6.8604]],
  "species": ["Si", "Si", "Si", "Si", "Si", "Si", "Ni", "Ni", "Ni", "Ni", "Ni", "Ni", "Ni", "Ni", "Ni", "Ni", "Ni", "Ni", "Ni", "Ni", "Ni", "Ni", "Tb", "Tb"],
  "frac_coords": [[0.1840, 0.2764, 0.3243], [0.2764, 0.1840, 0.8243], [0.0000, 0.5000, 0.0000], [0.5000, 0.0000, 0.5000], [0.7236, 0.8160, 0.1757], [0.8160, 0.7236, 0.6757], [0.8624, 0.2004, 0.4221], [0.5602, 0.7101, 0.4314], [0.7996, 0.1376, 0.0779], [0.8520, 0.4330, 0.6718], [0.4398, 0.2899, 0.5686], [0.1376, 0.7996, 0.5779], [0.8772, 0.1228, 0.7500], [0.2899, 0.4398, 0.0686], [0.7101, 0.5602, 0.9314], [0.5670, 0.1480, 0.8282], [0.4330, 0.8520, 0.1718], [0.1228, 0.8772, 0.2500], [0.0000, 0.0000, 0.5000], [0.2004, 0.8624, 0.9221], [0.0000, 0.0000, 0.0000], [0.1480, 0.5670, 0.3282], [0.6305, 0.3695, 0.2500], [0.3695, 0.6305, 0.7500]],
  "e_tot_ev_per_cell": -144.8,
  "space_group": "C2/c",
  "vol_a3_per_atom": 12.285
}

=====

# 2
{
  "formula": "Tb2Si5Ni3",
  "functional": "GGA-PBE",
  "state": "optimized geometry",
  "lattice": [[-4.0961, 1.2669, 3.6900], [2.9822, -7.1437, 1.4272], [6.8260, 3.3067, 2.1058]],
  "species": ["Si", "Si", "Si", "Si", "Si", "Si", "Si", "Si", "Si", "Si", "Tb", "Tb", "Tb", "Tb", "Ni", "Ni", "Ni", "Ni", "Ni", "Ni"],
  "frac_coords": [[0.7500, 0.2668, 0.7332], [0.2500, 0.0000, 0.0000], [0.7500, 0.7332, 0.2668], [0.1522, 0.5448, 0.7596], [0.2500, 0.2668, 0.7332], [0.6522, 0.7596, 0.5448], [0.8478, 0.4552, 0.2404], [0.7500, 0.0000, 0.0000], [0.2500, 0.7332, 0.2668], [0.3478, 0.2404, 0.4552], [0.2634, 0.8946, 0.6322], [0.7366, 0.1054, 0.3678], [0.7634, 0.6322, 0.8946], [0.2366, 0.3678, 0.1054], [0.1117, 0.9773, 0.2461], [0.6117, 0.2461, 0.9773], [0.8883, 0.0227, 0.7539], [0.2500, 0.5000, 0.5000], [0.7500, 0.5000, 0.5000], [0.3883, 0.7539, 0.0227]],
  "e_tot_ev_per_cell": -122.1,
  "space_group": "Ibam",
  "vol_a3_per_atom": 15.083
}

=====

# 3
{
  "formula": "TbSiNi",
  "functional": "GGA-PBE",
  "state": "optimized geometry",
  "lattice": [[6.6415, 0.0000, 0.0000], [-3.3208, 5.7517, 0.0000], [0.0000, 0.0000, 4.0842]],
  "species": ["Si", "Si", "Si", "Tb", "Tb", "Tb", "Ni", "Ni", "Ni"],
  "frac_coords": [[0.0000, 0.0000, 0.5000], [0.3333, 0.6667, 0.0000], [0.6667, 0.3333, 0.0000], [0.4256, 0.4256, 0.5000], [0.5744, 0.0000, 0.5000], [0.0000, 0.5744, 0.5000], [0.7697, 0.7697, 0.0000], [0.0000, 0.2303, 0.0000], [0.2303, 0.0000, 0.0000]],
  "e_tot_ev_per_cell": -52.9,
  "space_group": "P-62m",
  "vol_a3_per_atom": 17.335
}

=====

# 4
{
  "formula": "TbSiNi4",
  "functional": "GGA-PBE",
  "state": "optimized geometry",
  "lattice": [[2.5363, -4.0800, 0.0000], [2.5363, 4.0800, 0.0000], [0.0000, 0.0000, 3.9422]],
  "species": ["Ni", "Ni", "Ni", "Ni", "Si", "Tb"],
  "frac_coords": [[0.0000, 0.5000, 0.5000], [0.5000, 0.0000, 0.5000], [0.3422, 0.6578, 0.0000], [0.6578, 0.3422, 0.0000], [0.5000, 0.5000, 0.5000], [0.0000, 0.0000, 0.0000]],
  "e_tot_ev_per_cell": -36.0,
  "space_group": "Cmmm",
  "vol_a3_per_atom": 13.599
}